Below is an optimized crystal structure of LiHo2Tc, with properties calculated at the PBEsol level.

a = 4.8266 Å, b = 4.8266 Å, c = 4.8266 Å
α = 60.00°, β = 60.00°, γ = 60.00°
Last column: nearest neighbours and their distance in Å.
Atoms (fractional coordinates):
Li 0.0000 0.0000 0.0000  8 Ho 2.96
Ho 0.2500 0.2500 0.2500  4 Tc 2.96, 4 Li 2.96
Ho 0.7500 0.7500 0.7500  4 Li 2.96, 4 Tc 2.96
Tc 0.5000 0.5000 0.5000  8 Ho 2.96

Formation energy: -6.8 kJ/mol of formula units
Total energy: -23.203 eV/f.u.
Magnetization: 0.00 Bohr magnetons per cell
Space-group type: Fm-3m (225)
D(E_F): 0.822 states/eV per atom